No. 1
Computed, not measured: a relaxed structure of Li2ZnIn9 at the PBE-GGA level of DFT.

a = 4.585 Å, b = 4.585 Å, c = 13.781 Å
α = 90.00°, β = 90.00°, γ = 90.00°
Fractional positions:
In  0.500  0.000  0.832
In  0.500  0.000  0.500
In  0.500  0.000  0.168
In  0.000  0.500  0.168
In  0.000  0.500  0.832
Li  0.000  0.000  0.661
In  0.500  0.500  0.665
In  0.500  0.500  0.000
Li  0.000  0.000  0.339
In  0.000  0.500  0.500
In  0.500  0.500  0.335
Zn  0.000  0.000  0.000

Properties
Space-group type ... No. 123
Total energy ... -30.397 eV/f.u.

***

No. 2
Computed, not measured: a relaxed structure of Ca2TmTl4 at the PBE-GGA level of DFT.

a = 5.307 Å, b = 5.307 Å, c = 8.390 Å
α = 108.44°, β = 108.44°, γ = 90.00°
Fractional positions:
Tl  0.610  0.110  0.221
Tl  0.110  0.610  0.221
Ca  0.251  0.251  0.502
Tm  0.000  0.000  0.000
Tl  0.390  0.890  0.779
Ca  0.749  0.749  0.498
Tl  0.890  0.390  0.779

Properties
Space-group type ... No. 139
Total energy ... -19.834 eV/f.u.

***

No. 3
Computed, not measured: a relaxed structure of PmGaIrPd at the PBE-GGA level of DFT.

a = 4.721 Å, b = 4.721 Å, c = 4.721 Å
α = 60.00°, β = 60.00°, γ = 60.00°
Fractional positions:
Ga  0.250  0.250  0.250
Pm  0.750  0.750  0.750
Pd  0.000  0.000  0.000
Ir  0.500  0.500  0.500

Properties
Space-group type ... No. 216
Total energy ... -24.006 eV/f.u.

***

No. 4
Computed, not measured: a relaxed structure of Ce2ZrTi at the PBE-GGA level of DFT.

a = 5.177 Å, b = 5.177 Å, c = 5.177 Å
α = 60.00°, β = 60.00°, γ = 60.00°
Site moments in Bohr magnetons follow the coordinates.
Fractional positions:
Ce  0.750  0.750  0.750  0.46
Ti  0.500  0.500  0.500  0.88
Zr  0.000  0.000  0.000  -0.09
Ce  0.250  0.250  0.250  0.46

Properties
Space-group type ... No. 225
Total energy ... -27.163 eV/f.u.

***

No. 5
Computed, not measured: a relaxed structure of Sm2DyYSe6 at the PBE-GGA level of DFT.

a = 7.300 Å, b = 7.300 Å, c = 7.765 Å
α = 61.96°, β = 61.96°, γ = 59.99°
Fractional positions:
Se  0.107  0.427  0.755
Dy  0.818  0.819  0.545
Se  0.211  0.926  0.255
Se  0.927  0.607  0.255
Se  0.427  0.712  0.754
Se  0.712  0.107  0.755
Sm  0.517  0.517  0.448
Sm  0.017  0.017  0.949
Y  0.319  0.319  0.044
Se  0.607  0.212  0.255

Properties
Uncorrected formation energy ... -1.852 eV/atom
Space-group type ... No. 146

***

No. 6
Computed, not measured: a relaxed structure of Pm2ReO at the PBE-GGA level of DFT.

a = 3.216 Å, b = 3.216 Å, c = 8.998 Å
α = 79.70°, β = 79.70°, γ = 60.00°
Fractional positions:
O  0.500  0.500  0.500
Pm  0.894  0.894  0.318
Re  0.000  0.000  0.000
Pm  0.106  0.106  0.682

Properties
Uncorrected formation energy ... -0.454 eV/atom
Space-group type ... No. 166

***

No. 7
Computed, not measured: a relaxed structure of Sr2SbIr at the PBE-GGA level of DFT.

a = 9.304 Å, b = 9.304 Å, c = 9.304 Å
α = 24.94°, β = 24.94°, γ = 24.94°
Site moments in Bohr magnetons follow the coordinates.
Fractional positions:
Ir  0.250  0.250  0.250  0.50
Sr  0.987  0.987  0.987  -0.01
Sb  0.750  0.750  0.750  0.00
Sr  0.513  0.513  0.513  -0.01

Properties
Uncorrected formation energy ... -0.086 eV/atom
Space-group type ... No. 166

***

No. 8
Computed, not measured: a relaxed structure of Ti5Nb5Sn6 at the PBE-GGA level of DFT.

a = 5.374 Å, b = 8.160 Å, c = 8.160 Å
α = 120.17°, β = 90.00°, γ = 90.00°
Fractional positions:
Sn  0.000  0.388  0.004
Sn  0.000  0.004  0.388
Nb  0.500  0.802  0.802
Ti  0.245  0.334  0.670
Nb  0.000  0.998  0.744
Nb  0.000  0.744  0.998
Nb  0.500  0.203  0.999
Sn  0.500  0.001  0.591
Nb  0.500  0.999  0.203
Ti  0.755  0.334  0.670
Ti  0.755  0.670  0.334
Sn  0.500  0.407  0.407
Ti  0.000  0.248  0.248
Ti  0.245  0.670  0.334
Sn  0.000  0.607  0.607
Sn  0.500  0.591  0.001

Properties
Space-group type ... No. 38
Total energy ... -117.598 eV/f.u.